Record 1
This record from Alexandria via LeMat-Bulk describes a geometry-optimized Ce2MoRhN5 structure. The functional is PBE.

Cell: 3.263 12.985 10.437 Å, 90.00 90.00 90.00°
Space group Cmc2_1 (No. 36)
One atom of each set of equivalent atoms:
Ce (0.000, 0.101, 0.000) x4
Ce (0.000, 0.148, 0.617) x4
Mo (0.000, 0.207, 0.330) x4
Rh (0.000, 0.474, 0.769) x4
N (0.000, 0.061, 0.387) x4
N (0.000, 0.277, 0.964) x4
N (0.000, 0.322, 0.689) x4
N (0.000, 0.364, 0.310) x4
N (0.000, 0.484, 0.082) x4

Computed properties:
Spin magnetization ... 0.0 Bohr magnetons per cell
Crystal system ... orthorhombic
E_form (uncorrected) ... -0.7281 eV/atom

=====

Record 2
This record from Alexandria via LeMat-Bulk describes a geometry-optimized Pm3Nd2Rh2 structure. The functional is PBE.

Cell: 12.422 3.875 9.190 Å, 90.00 115.80 90.00°
Space group C2/m (No. 12)
One atom of each set of equivalent atoms:
Pm (0.000, 0.000, 0.000) x2
Pm (0.115, 0.000, 0.429) x4
Nd (0.167, 0.500, 0.810) x4
Rh (0.176, 0.500, 0.243) x4

Computed properties:
Spin magnetization ... 0.0 Bohr magnetons per cell
DFT formation energy ... -323 kJ/mol of formula units
Crystal system ... monoclinic

=====

Record 3
This record from Alexandria via LeMat-Bulk describes a geometry-optimized Pm5SnRh2 structure. The functional is PBE.

Cell: 7.960 7.960 13.763 Å, 90.00 90.00 90.00°
Space group I4/mcm (No. 140)
One atom of each set of equivalent atoms:
Pm (0.000, 0.000, 0.000) x4
Pm (0.160, 0.340, 0.136) x16
Sn (0.000, 0.000, 0.250) x4
Rh (0.138, 0.362, 0.500) x8

Computed properties:
Spin magnetization ... 0.0 Bohr magnetons per cell
DFT formation energy ... -490 kJ/mol of formula units
Crystal system ... tetragonal

=====

Record 4
This record from Alexandria via LeMat-Bulk describes a geometry-optimized Sc2AlGe structure. The functional is PBE.

Cell: 3.3632 3.3632 25.4786 Å, 90.00 90.00 120.00°
Space group R-3m (No. 166, hexagonal axes)
One atom of each set of equivalent atoms:
Sc (0.0000, 0.0000, 0.2460) x6
Al (0.0000, 0.0000, 0.0000) x3
Ge (0.0000, 0.0000, 0.5000) x3

Computed properties:
Spin magnetization ... 0.0 Bohr magnetons per cell
DFT formation energy ... -148 kJ/mol of formula units
Crystal system ... trigonal

=====

Record 5
This record from Alexandria via LeMat-Bulk describes a geometry-optimized KAc2CuF8 structure. The functional is PBE.

Cell: 4.194 8.661 5.999 Å, 90.00 98.61 90.00°
Space group P2/m (No. 10)
One atom of each set of equivalent atoms:
K (0.000, 0.000, 0.000) x1
Ac (0.500, 0.249, 0.500) x2
Cu (0.000, 0.500, 0.000) x1
F (0.050, 0.247, 0.729) x4
F (0.354, 0.500, 0.258) x2
F (0.494, 0.000, 0.716) x2

Computed properties:
Spin magnetization ... 0.1 Bohr magnetons per cell
Crystal system ... monoclinic
E_form (uncorrected) ... -3.3783 eV/atom

=====

Record 6
This record from Alexandria via LeMat-Bulk describes a geometry-optimized ZnPtRh2 structure. The functional is PBE.

Cell: 3.875 3.875 7.695 Å, 90.00 90.00 90.00°
Space group I-4m2 (No. 119)
One atom of each set of equivalent atoms:
Zn (0.000, 0.000, 0.000) x2
Pt (0.000, 0.500, 0.750) x2
Rh (0.000, 0.000, 0.500) x2
Rh (0.000, 0.500, 0.250) x2

Computed properties:
Spin magnetization ... 0.0 Bohr magnetons per cell
DFT formation energy ... -90 kJ/mol of formula units
Crystal system ... tetragonal

=====

Record 7
This record from Alexandria via LeMat-Bulk describes a geometry-optimized Li2CrOs structure. The functional is PBE.

Cell: 2.601 4.670 4.507 Å, 90.00 94.74 90.00°
Space group P2/m (No. 10)
One atom of each set of equivalent atoms:
Li (0.235, 0.000, 0.239) x2
Cr (0.000, 0.500, 0.500) x1
Os (0.500, 0.500, 0.000) x1

Computed properties:
Spin magnetization ... 2.1 Bohr magnetons per cell
DFT formation energy ... 114 kJ/mol of formula units
Crystal system ... monoclinic
E above lowest polymorph ... 0.051 eV per atom

=====

Record 8
This record from Alexandria via LeMat-Bulk describes a geometry-optimized Be2MoRu structure. The functional is PBE.

Cell: 2.6944 2.6944 23.5268 Å, 90.00 90.00 120.00°
Space group R-3m (No. 166, hexagonal axes)
One atom of each set of equivalent atoms:
Be (0.0000, 0.0000, 0.2448) x6
Mo (0.0000, 0.0000, 0.0000) x3
Ru (0.0000, 0.0000, 0.5000) x3

Computed properties:
Spin magnetization ... 0.0 Bohr magnetons per cell
DFT formation energy ... 71 kJ/mol of formula units
Crystal system ... trigonal
E above lowest polymorph ... 0.376 eV per atom

=====

Record 9
This record from Alexandria via LeMat-Bulk describes a geometry-optimized Pm5Zn2 structure. The functional is PBE.

Cell: 16.141 7.627 6.603 Å, 90.00 93.04 90.00°
Space group C2/c (No. 15)
One atom of each set of equivalent atoms:
Pm (0.000, 0.028, 0.250) x4
Pm (0.085, 0.365, 0.524) x8
Pm (0.230, 0.076, 0.747) x8
Zn (0.114, 0.251, 0.020) x8

Computed properties:
Spin magnetization ... 0.0 Bohr magnetons per cell
DFT formation energy ... -79 kJ/mol of formula units
Crystal system ... monoclinic

=====

Record 10
This record from Alexandria via LeMat-Bulk describes a geometry-optimized SrMg4Pd structure. The functional is PBE.

Cell: 9.097 4.200 7.893 Å, 90.00 90.00 90.00°
Space group Pmma (No. 51)
One atom of each set of equivalent atoms:
Sr (0.250, 0.000, 0.094) x2
Mg (0.000, 0.000, 0.500) x2
Mg (0.065, 0.500, 0.792) x4
Mg (0.250, 0.500, 0.459) x2
Pd (0.250, 0.000, 0.688) x2

Computed properties:
Spin magnetization ... 0.0 Bohr magnetons per cell
DFT formation energy ... -193 kJ/mol of formula units
Crystal system ... orthorhombic

=====

Record 11
This record from Alexandria via LeMat-Bulk describes a geometry-optimized Pm4Dy3Ga4 structure. The functional is PBE.

Cell: 3.561 9.069 18.320 Å, 90.00 90.00 90.00°
Space group Immm (No. 71)
One atom of each set of equivalent atoms:
Pm (0.000, 0.177, 0.166) x8
Dy (0.000, 0.000, 0.407) x4
Dy (0.000, 0.500, 0.500) x2
Ga (0.000, 0.277, 0.000) x4
Ga (0.000, 0.500, 0.223) x4

Computed properties:
Spin magnetization ... 0.0 Bohr magnetons per cell
DFT formation energy ... -438 kJ/mol of formula units
Crystal system ... orthorhombic

=====

Record 12
This record from Alexandria via LeMat-Bulk describes a geometry-optimized Y4CN3 structure. The functional is PBE.

Cell: 4.962 4.962 4.962 Å, 90.00 90.00 90.00°
Space group Pm-3m (No. 221)
One atom of each set of equivalent atoms:
Y (0.000, 0.000, 0.000) x1
Y (0.000, 0.500, 0.500) x3
C (0.500, 0.500, 0.500) x1
N (0.000, 0.000, 0.500) x3

Computed properties:
Spin magnetization ... 0.0 Bohr magnetons per cell
Crystal system ... cubic
E_form (uncorrected) ... -1.2365 eV/atom

=====

Record 13
This record from Alexandria via LeMat-Bulk describes a geometry-optimized BaSr2P structure. The functional is PBE.

Cell: 3.925 3.925 10.554 Å, 90.00 90.00 90.00°
Space group P4/mmm (No. 123)
One atom of each set of equivalent atoms:
Ba (0.000, 0.000, 0.000) x1
Sr (0.500, 0.500, 0.350) x2
P (0.000, 0.000, 0.500) x1

Computed properties:
Spin magnetization ... 0.7 Bohr magnetons per cell
DFT formation energy ... -184 kJ/mol of formula units
Crystal system ... tetragonal

=====

Record 14
This record from Alexandria via LeMat-Bulk describes a geometry-optimized TbPmNbN3 structure. The functional is PBE.

Cell: 5.853 3.410 8.697 Å, 90.00 102.83 90.00°
Space group P2_1/m (No. 11)
One atom of each set of equivalent atoms:
Tb (0.231, 0.250, 0.453) x2
Pm (0.349, 0.750, 0.813) x2
Nb (0.134, 0.750, 0.135) x2
N (0.044, 0.250, 0.673) x2
N (0.239, 0.250, 0.019) x2
N (0.436, 0.750, 0.321) x2

Computed properties:
Spin magnetization ... 0.0 Bohr magnetons per cell
Crystal system ... monoclinic
E_form (uncorrected) ... -1.3608 eV/atom

=====

Record 15
This record from Alexandria via LeMat-Bulk describes a geometry-optimized KAl2Pt structure. The functional is PBE.

Cell: 5.967 5.967 14.614 Å, 90.00 90.00 90.00°
Space group I4_1/amd (No. 141, origin choice 2)
One atom of each set of equivalent atoms:
K (0.000, 0.250, 0.375) x4
Al (0.000, 0.000, 0.000) x8
Pt (0.000, 0.250, 0.875) x4

Computed properties:
Spin magnetization ... 0.0 Bohr magnetons per cell
DFT formation energy ... -99 kJ/mol of formula units
Crystal system ... tetragonal

=====

Record 16
This record from Alexandria via LeMat-Bulk describes a geometry-optimized LiCdCo structure. The functional is PBE.

Cell: 2.729 4.012 8.272 Å, 90.00 90.00 90.00°
Space group Imm2 (No. 44)
One atom of each set of equivalent atoms:
Li (0.000, 0.000, 0.000) x2
Cd (0.000, 0.000, 0.672) x2
Co (0.000, 0.000, 0.338) x2

Computed properties:
Spin magnetization ... 2.5 Bohr magnetons per cell
DFT formation energy ... 58 kJ/mol of formula units
Crystal system ... orthorhombic
E above lowest polymorph ... 0.007 eV per atom

=====

Record 17
This record from Alexandria via LeMat-Bulk describes a geometry-optimized Mg2TeAsRh structure. The functional is PBE.

Cell: 4.784 4.784 5.576 Å, 90.00 90.00 90.00°
Space group P4/mmm (No. 123)
One atom of each set of equivalent atoms:
Mg (0.000, 0.500, 0.000) x2
Te (0.000, 0.000, 0.500) x1
As (0.000, 0.000, 0.000) x1
Rh (0.500, 0.500, 0.500) x1

Computed properties:
Spin magnetization ... 0.0 Bohr magnetons per cell
Crystal system ... tetragonal
E_form (uncorrected) ... 0.4737 eV/atom

=====

Record 18
This record from Alexandria via LeMat-Bulk describes a geometry-optimized Dy5Er4Hg structure. The functional is PBE.

Cell: 3.543 3.543 23.873 Å, 90.00 90.00 90.00°
Space group P4/mmm (No. 123)
One atom of each set of equivalent atoms:
Dy (0.000, 0.000, 0.000) x1
Dy (0.000, 0.000, 0.207) x2
Dy (0.000, 0.000, 0.414) x2
Er (0.500, 0.500, 0.103) x2
Er (0.500, 0.500, 0.310) x2
Hg (0.500, 0.500, 0.500) x1

Computed properties:
Spin magnetization ... 0.0 Bohr magnetons per cell
DFT formation energy ... -73 kJ/mol of formula units
Crystal system ... tetragonal

=====

Record 19
This record from Alexandria via LeMat-Bulk describes a geometry-optimized NdHo3Rh structure. The functional is PBE.

Cell: 7.564 6.525 6.182 Å, 90.00 90.00 90.00°
Space group Pmn2_1 (No. 31)
One atom of each set of equivalent atoms:
Nd (0.000, 0.145, 0.000) x2
Ho (0.000, 0.847, 0.482) x2
Ho (0.248, 0.319, 0.492) x4
Rh (0.000, 0.508, 0.740) x2

Computed properties:
Spin magnetization ... 0.0 Bohr magnetons per cell
DFT formation energy ... -145 kJ/mol of formula units
Crystal system ... orthorhombic
E above lowest polymorph ... 0.000 eV per atom

=====

Record 20
This record from Alexandria via LeMat-Bulk describes a geometry-optimized PmEu2Tl structure. The functional is PBE.

Cell: 3.6754 3.6754 36.9179 Å, 90.00 90.00 120.00°
Space group R-3m (No. 166, hexagonal axes)
One atom of each set of equivalent atoms:
Pm (0.0000, 0.0000, 0.0000) x3
Eu (0.0000, 0.0000, 0.0952) x6
Tl (0.0000, 0.0000, 0.5000) x3

Computed properties:
Spin magnetization ... 45.2 Bohr magnetons per cell
DFT formation energy ... 20 kJ/mol of formula units
Crystal system ... trigonal
E above lowest polymorph ... 0.215 eV per atom

=====

Record 21
This record from Alexandria via LeMat-Bulk describes a geometry-optimized CsTe2Pd2 structure. The functional is PBE.

Cell: 9.199 9.199 3.388 Å, 90.00 90.00 90.00°
Space group P4/mbm (No. 127)
One atom of each set of equivalent atoms:
Cs (0.000, 0.000, 0.000) x2
Te (0.136, 0.364, 0.000) x4
Pd (0.108, 0.608, 0.500) x4

Computed properties:
Spin magnetization ... 0.0 Bohr magnetons per cell
Crystal system ... tetragonal
E above lowest polymorph ... 0.362 eV per atom
E_form (uncorrected) ... -0.1792 eV/atom

=====

Record 22
This record from Alexandria via LeMat-Bulk describes a geometry-optimized YCl structure. The functional is PBE.

Cell: 13.449 3.636 7.056 Å, 90.00 120.10 90.00°
Space group Cm (No. 8)
One atom of each set of equivalent atoms:
Y (0.000, 0.000, 0.000) x2
Y (0.069, 0.000, 0.589) x2
Y (0.249, 0.500, 0.094) x2
Cl (0.129, 0.500, 0.343) x2
Cl (0.313, 0.000, 0.858) x2
Cl (0.382, 0.000, 0.434) x2

Computed properties:
Spin magnetization ... 0.8 Bohr magnetons per cell
Crystal system ... monoclinic
E_form (uncorrected) ... -1.2745 eV/atom

=====

Record 23
This record from Alexandria via LeMat-Bulk describes a geometry-optimized K2MgInBr6 structure. The functional is PBE.

Cell: 7.585 7.892 13.266 Å, 90.00 124.87 90.00°
Space group P2_1/c (No. 14)
One atom of each set of equivalent atoms:
K (0.228, 0.071, 0.251) x4
Mg (0.500, 0.000, 0.000) x2
In (0.000, 0.000, 0.500) x2
Br (0.164, 0.191, 0.955) x4
Br (0.262, 0.712, 0.952) x4
Br (0.353, 0.018, 0.760) x4

Computed properties:
Spin magnetization ... 0.0 Bohr magnetons per cell
Crystal system ... monoclinic
E_form (uncorrected) ... -1.3187 eV/atom